(1)
KCaSeCl: relaxed, GGA-PBE.

Lattice parameters (Å, degrees): 4.3306 4.3306 7.7923 73.87 73.87 60.00
With the nearest neighbours (Å) after each atom.
Positions (direct):
Ca (0.2565, 0.2565, 0.2305)  3 Se 2.86, 3 Cl 3.06
Se (0.9862, 0.9862, 0.0413)  3 Ca 2.86
Cl (0.5105, 0.5105, 0.4686)  3 Ca 3.06, 3 K 3.30
K (0.7468, 0.7468, 0.7596)  3 Se 3.25, 3 Cl 3.30

* raw total energy: -3.990 eV/atom
* mass density: 2.7 g cm⁻³



(2)
KCaSmCl6: relaxed, GGA-PBE.

Lattice parameters (Å, degrees): 7.1918 7.1918 13.5002 90.00 90.00 120.00
With the nearest neighbours (Å) after each atom.
Positions (direct):
Cl (0.6331, 0.6291, 0.1374)  1 Sm 2.72, 1 Ca 2.76
Cl (0.3709, 0.0040, 0.1374)  1 Sm 2.72, 1 Ca 2.76
Cl (0.6291, 0.9960, 0.8626)  1 Sm 2.72, 1 Ca 2.76
Cl (0.3669, 0.9960, 0.6374)  1 Sm 2.72, 1 Ca 2.76
Cl (0.0040, 0.6331, 0.8626)  1 Sm 2.72, 1 Ca 2.76
Cl (0.9960, 0.3669, 0.1374)  1 Sm 2.72, 1 Ca 2.76
Cl (0.3669, 0.3709, 0.8626)  1 Sm 2.72, 1 Ca 2.76
Cl (0.3709, 0.3669, 0.3626)  1 Sm 2.72, 1 Ca 2.76
Cl (0.6291, 0.6331, 0.6374)  1 Sm 2.72, 1 Ca 2.76
Cl (0.0040, 0.3709, 0.6374)  1 Sm 2.72, 1 Ca 2.76
Cl (0.6331, 0.0040, 0.3626)  1 Sm 2.72, 1 Ca 2.76
Cl (0.9960, 0.6291, 0.3626)  1 Sm 2.72, 1 Ca 2.76
K (0.0000, 0.0000, 0.0000)  6 Cl 3.24
K (0.0000, 0.0000, 0.5000)  6 Cl 3.24
Sm (0.3333, 0.6667, 0.7500)  6 Cl 2.72
Sm (0.6667, 0.3333, 0.2500)  6 Cl 2.72
Ca (0.6667, 0.3333, 0.7500)  6 Cl 2.76
Ca (0.3333, 0.6667, 0.2500)  6 Cl 2.76

* raw total energy: -4.378 eV/atom
* mass density: 2.4 g cm⁻³



(3)
KCa2SmCl8: relaxed, GGA-PBE.

Lattice parameters (Å, degrees): 6.6777 6.4394 8.6816 90.00 90.00 89.66
With the nearest neighbours (Å) after each atom.
Positions (direct):
Ca (0.5000, 0.5000, 0.2547)  6 Cl 2.72-2.91
Ca (0.5000, 0.5000, 0.7453)  6 Cl 2.72-2.91
Cl (0.3591, 0.2827, 0.5000)  2 Ca 2.72, 1 K 3.02
Cl (0.8241, 0.2341, 0.7799)  1 Sm 2.70, 1 Ca 2.77
Cl (0.6409, 0.7173, 0.5000)  2 Ca 2.72, 1 K 3.02
Cl (0.6766, 0.7274, 0.0000)  1 Sm 2.79, 2 Ca 2.91
Cl (0.8241, 0.2341, 0.2201)  1 Sm 2.70, 1 Ca 2.77
Cl (0.1759, 0.7659, 0.2201)  1 Sm 2.70, 1 Ca 2.77
Cl (0.1759, 0.7659, 0.7799)  1 Sm 2.70, 1 Ca 2.77
Cl (0.3234, 0.2726, 0.0000)  1 Sm 2.79, 2 Ca 2.91
K (0.0000, 0.0000, 0.5000)  6 Cl 3.02-3.09
Sm (0.0000, 0.0000, 0.0000)  6 Cl 2.70-2.79

* raw total energy: -4.319 eV/atom
* mass density: 2.5 g cm⁻³



What is the mass density in the second record? 2.4 g cm⁻³



The lowest raw total energy belongs to which entry? KCaSmCl6



Number 3 is which compound? KCa2SmCl8



mass density of number 3 (KCa2SmCl8)? 2.5 g cm⁻³